Sb2S3O12 after structural relaxation. Source: Alexandria, functional GGA-PBEsol.

Lattice parameters (Å, degrees): 8.680 8.947 15.334 90.00 124.38 90.00
Space group P2_1/c (No. 14)
Symmetry-distinct sites (fractional):
Sb 0.120 0.018 0.384
Sb 0.357 0.043 0.110
S 0.065 0.642 0.672
S 0.269 0.128 0.682
S 0.464 0.746 0.501
O 0.059 0.710 0.216
O 0.122 0.094 0.913
O 0.135 0.114 0.714
O 0.148 0.529 0.762
O 0.171 0.108 0.568
O 0.196 0.649 0.641
O 0.271 0.703 0.954
O 0.364 0.226 0.219
O 0.400 0.137 0.434
O 0.412 0.004 0.736
O 0.480 0.704 0.411
O 0.499 0.112 0.932

Values from the calculation:
The value obtained for the total magnetization is 0.000 μB per atom. The formation energy from raw total energies comes out at -1.33 eV/atom. For the energy above the most stable polymorph in this dataset, the calculation gives 3.6 meV per atom. As for the density of states at the Fermi level: 0.00 states/eV/f.u.